Compound: TbNpNi17
Source: Alexandria
Functional: PBE
Structure: relaxed

The structure in extended XYZ format:
```
19
Lattice="6.1954 0.0137 0.7462 0.6634 6.1598 0.7462 0.0152 0.0137 6.2402" Properties=species:S:1:pos:R:3 pbc="T T T"
Tb 4.5455 4.0913 5.1133
Np 2.3189 2.0872 2.6086
Ni 1.8419 0.0210 4.6099
Ni 4.5531 1.8295 0.7527
Ni 0.4784 4.3361 2.3693
Ni 2.2969 4.3361 0.7527
Ni 0.2141 1.8295 4.6099
Ni 4.3623 0.0210 2.3693
Ni 2.7125 5.2277 3.0513
Ni 2.3878 2.1492 5.8031
Ni 5.4834 2.1492 3.0513
Ni 4.1495 0.9795 4.6678
Ni 4.4705 4.0239 1.9465
Ni 1.4093 4.0239 4.6678
Ni 6.5400 3.1081 7.3569
Ni 6.8637 6.1779 4.6129
Ni 3.7769 6.1779 7.3569
Ni 6.2034 5.5835 6.9782
Ni 0.6949 0.6254 0.7817
```

Computed properties:
**Space-group type**: R3m, No. 160
**Calculated formation energy**: -3.01 kcal/mol of atoms


Compound: Np2TcNi
Source: Alexandria
Functional: PBE
Structure: relaxed

The structure in extended XYZ format:
```
4
Lattice="-1.5418 2.0955 1.8495 -3.0268 0.9774 -3.6307 -2.9498 -3.5074 1.5149" Properties=species:S:1:pos:R:3 pbc="T T T"
Np -1.4749 -1.7537 0.7575
Np -1.5134 0.4887 -1.8153
Ni -0.7709 1.0477 0.9247
Tc -3.7592 -0.2173 -0.1331
```

Computed properties:
**Space-group type**: P4/mmm, No. 123
**Calculated formation energy**: 4.75 kcal/mol of atoms


Compound: NpTcNi4
Source: Alexandria
Functional: PBE
Structure: relaxed

The structure in extended XYZ format:
```
6
Lattice="4.8466 0.0000 0.0000 2.4233 4.1973 0.0000 2.4233 1.3991 3.9573" Properties=species:S:1:pos:R:3 pbc="T T T"
Np 0.0000 0.0000 0.0000
Ni 4.8466 2.7982 0.5017
Ni 4.8466 1.4057 2.4709
Ni 6.0526 3.4944 2.4709
Ni 3.6407 3.4944 2.4709
Tc 2.4233 1.3991 0.9893
```

Computed properties:
**Space-group type**: F-43m, No. 216
**Calculated formation energy**: -0.34 kcal/mol of atoms


Compound: NpTc2Ni
Source: Alexandria
Functional: PBE
Structure: relaxed

The structure in extended XYZ format:
```
4
Lattice="3.6172 0.0000 0.0000 0.0000 4.0923 0.0000 0.0000 0.0000 4.0923" Properties=species:S:1:pos:R:3 pbc="T T T"
Np 1.8086 2.0462 2.0462
Ni 1.8086 0.0000 0.0000
Tc 0.0000 0.0000 2.0462
Tc 0.0000 2.0462 0.0000
```

Computed properties:
**Space-group type**: P4/mmm, No. 123
**Calculated formation energy**: -0.34 kcal/mol of atoms


Compound: NpUTcNi
Source: Alexandria
Functional: PBE
Structure: relaxed

The structure in extended XYZ format:
```
4
Lattice="-4.5141 -0.0377 0.1055 -2.3111 -2.3449 -3.0903 -2.1991 -3.7578 1.1970" Properties=species:S:1:pos:R:3 pbc="T T T"
Np 0.0000 0.0000 0.0000
Ni -2.2561 -1.5351 -0.4469
U -6.7682 -4.6053 -1.3408
Tc -4.5121 -3.0702 -0.8939
```

Computed properties:
**Space-group type**: F-43m, No. 216
**Calculated formation energy**: -3.35 kcal/mol of atoms


Compound: Np3NiTe6
Source: Alexandria
Functional: PBE
Structure: relaxed

The structure in extended XYZ format:
```
20
Lattice="-0.5302 5.4159 4.3988 -9.1833 -1.8448 1.1644 3.7671 -5.2311 6.8947" Properties=species:S:1:pos:R:3 pbc="T T T"
Np -6.0744 -2.9668 8.2146
Np -3.7073 -0.9472 11.5787
Np -1.5080 -1.8918 6.2814
Np -4.5673 1.5467 7.2444
Np -0.1114 3.7506 6.2281
Np -2.4784 1.7310 2.8640
Ni 1.0720 -4.2005 5.9884
Ni -6.8189 0.5015 4.8134
Te -4.1581 -3.6326 5.9156
Te -3.4888 -1.1690 8.5285
Te -0.7705 -4.5052 7.6846
Te -7.0599 -0.2220 7.2183
Te 3.1835 -4.2338 7.3781
Te 0.4667 -0.7229 8.6349
Te -6.3504 -1.5789 3.3017
Te -9.0346 1.5997 4.2885
Te 1.1661 -1.9753 4.8032
Te -5.1234 2.3079 4.3369
Te -2.3778 -1.3069 3.2667
Te -1.7085 1.1567 5.8796
```

Computed properties:
**Energy relative to the elements, uncorrected**: -483 meV/atom
**Space-group type**: Cmc2_1, No. 36


In order of appearance, volume = 238.0; 74.4; 80.5; 60.6; 65.1; 612.1 Å³ per cell.